Rb3Se5S12: relaxed, PBE-GGA.

Calculated values
* final energy: -3.4080 eV/atom
* symmetry: Ia-3d (230)
* V: 27.562 Å³/atom
* formation energy (no corrections): 85 meV/atom
* crystal system: cubic
* ρ: 3.12 g/cm³

abc: 14.202 14.202 14.202
angles: 109.47 109.47 109.47
Element x y z (fractional)
S  0.106  0.690  0.506
S  0.994  0.394  0.310
S  0.816  0.916  0.310
Rb  0.125  0.250  0.875
S  0.084  0.900  0.394
Rb  0.250  0.625  0.875
Rb  0.875  0.750  0.125
S  0.006  0.606  0.690
Se  0.500  0.500  0.500
S  0.494  0.810  0.894
S  0.690  0.106  0.006
S  0.816  0.900  0.006
Se  0.875  0.250  0.625
S  0.106  0.416  0.100
S  0.810  0.494  0.394
Se  0.000  0.500  0.000
S  0.916  0.100  0.606
Se  0.750  0.125  0.875
Se  0.250  0.375  0.625
S  0.316  0.506  0.400
Rb  0.750  0.875  0.625
Se  0.500  0.000  0.000
Rb  0.375  0.625  0.250
Rb  0.250  0.125  0.375
S  0.994  0.600  0.184
S  0.894  0.584  0.900
S  0.916  0.816  0.810
Rb  0.875  0.125  0.250
S  0.606  0.006  0.190
S  0.900  0.816  0.506
Rb  0.125  0.875  0.750
S  0.416  0.310  0.316
S  0.184  0.100  0.994
S  0.100  0.184  0.494
S  0.394  0.400  0.084
Se  0.125  0.750  0.375
Se  0.375  0.125  0.750
S  0.400  0.394  0.584
Se  0.625  0.875  0.250
S  0.506  0.190  0.106
S  0.894  0.310  0.494
S  0.190  0.684  0.084
Rb  0.375  0.750  0.625
S  0.606  0.600  0.916
S  0.184  0.084  0.690
Rb  0.625  0.375  0.750
S  0.084  0.184  0.190
S  0.600  0.994  0.684
Se  0.000  0.500  0.500
S  0.006  0.400  0.816
Se  0.125  0.375  0.250
S  0.810  0.316  0.916
Se  0.500  0.500  0.000
S  0.400  0.006  0.316
S  0.684  0.190  0.584
S  0.494  0.684  0.100
S  0.416  0.106  0.600
Se  0.625  0.750  0.875
S  0.394  0.994  0.810
S  0.684  0.494  0.600
Se  0.000  0.000  0.500
Rb  0.625  0.250  0.375
S  0.100  0.916  0.106
Rb  0.750  0.375  0.125
S  0.310  0.894  0.994
Se  0.000  0.000  0.000
S  0.600  0.606  0.416
S  0.900  0.084  0.894
Se  0.875  0.625  0.750
S  0.506  0.316  0.900
S  0.310  0.416  0.816
S  0.690  0.584  0.184
S  0.190  0.506  0.606
S  0.584  0.690  0.684
Se  0.375  0.250  0.125
Se  0.750  0.625  0.375
S  0.584  0.894  0.400
Se  0.250  0.875  0.125
S  0.316  0.810  0.416
Se  0.500  0.000  0.500